VASP calculation (PBE) on a geometry-optimized LaPmEuLu structure.

Values from the calculation:
Space-group type   F-43m (216)
Energy of formation from the pure elements   0.120 eV/atom

a b c (Å): 5.8421 5.8421 5.8421
angles (deg): 60.00 60.00 60.00
Closest atoms and distances in Å follow each position.
Fractional coordinates of all 4 atoms:
La 0.0000 0.0000 0.0000  4 Lu 3.58, 4 Eu 3.58
Pm 0.5000 0.5000 0.5000  4 Eu 3.58, 4 Lu 3.58
Eu 0.7500 0.7500 0.7500  4 Pm 3.58, 4 La 3.58
Lu 0.2500 0.2500 0.2500  4 Pm 3.58, 4 La 3.58

VASP calculation (PBE) on a geometry-optimized LaPrEuLu structure.

Values from the calculation:
Space-group type   F-43m (216)
Energy of formation from the pure elements   0.111 eV/atom

a b c (Å): 5.8685 5.8685 5.8685
angles (deg): 60.00 60.00 60.00
Closest atoms and distances in Å follow each position.
Fractional coordinates of all 4 atoms:
La 0.0000 0.0000 0.0000  4 Lu 3.59, 4 Eu 3.59
Pr 0.5000 0.5000 0.5000  4 Eu 3.59, 4 Lu 3.59
Eu 0.7500 0.7500 0.7500  4 Pr 3.59, 4 La 3.59
Lu 0.2500 0.2500 0.2500  4 Pr 3.59, 4 La 3.59

VASP calculation (PBE) on a geometry-optimized LaSmEuLu structure.

Values from the calculation:
Space-group type   F-43m (216)
Energy of formation from the pure elements   0.124 eV/atom

a b c (Å): 5.8344 5.8344 5.8344
angles (deg): 60.00 60.00 60.00
Closest atoms and distances in Å follow each position.
Fractional coordinates of all 4 atoms:
La 0.0000 0.0000 0.0000  4 Eu 3.57, 4 Lu 3.57
Sm 0.5000 0.5000 0.5000  4 Eu 3.57, 4 Lu 3.57
Eu 0.7500 0.7500 0.7500  4 Sm 3.57, 4 La 3.57
Lu 0.2500 0.2500 0.2500  4 Sm 3.57, 4 La 3.57

VASP calculation (PBE) on a geometry-optimized LaEuTmLu structure.

Values from the calculation:
Space-group type   F-43m (216)
Energy of formation from the pure elements   0.145 eV/atom

a b c (Å): 5.7796 5.7796 5.7796
angles (deg): 60.00 60.00 60.00
Closest atoms and distances in Å follow each position.
Fractional coordinates of all 4 atoms:
La 0.0000 0.0000 0.0000  4 Lu 3.54, 4 Eu 3.54
Eu 0.2500 0.2500 0.2500  4 La 3.54, 4 Tm 3.54
Tm 0.5000 0.5000 0.5000  4 Lu 3.54, 4 Eu 3.54
Lu 0.7500 0.7500 0.7500  4 La 3.54, 4 Tm 3.54

VASP calculation (PBE) on a geometry-optimized LaEuYLu structure.

Values from the calculation:
Space-group type   F-43m (216)
Energy of formation from the pure elements   0.133 eV/atom

a b c (Å): 5.8153 5.8153 5.8153
angles (deg): 60.00 60.00 60.00
Closest atoms and distances in Å follow each position.
Fractional coordinates of all 4 atoms:
La 0.0000 0.0000 0.0000  4 Lu 3.56, 4 Eu 3.56
Eu 0.2500 0.2500 0.2500  4 Y 3.56, 4 La 3.56
Y 0.5000 0.5000 0.5000  4 Lu 3.56, 4 Eu 3.56
Lu 0.7500 0.7500 0.7500  4 Y 3.56, 4 La 3.56

VASP calculation (PBE) on a geometry-optimized LaEuMg structure.

Values from the calculation:
Energy relative to the lowest polymorph listed for this composition   0 meV/atom
Space-group type   I4mm (107)
Energy of formation from the pure elements   -0.027 eV/atom

a b c (Å): 7.0772 7.0772 7.0772
angles (deg): 147.33 147.33 46.88
Closest atoms and distances in Å follow each position.
Fractional coordinates of all 3 atoms:
La 0.0000 0.0000 0.0000  4 Mg 3.40
Eu 0.7008 0.7008 0.0000  4 Mg 3.44, 4 La 3.84
Mg 0.3532 0.3532 0.0000  4 La 3.40, 4 Eu 3.44